1.
Density functional theory data (GGA-PBE) for a relaxed structure of La2PuBi.

```
La2PuBi
1.0
-1.3873 1.8245 4.1602
4.0471 -2.1465 2.2910
2.7601 4.2138 -0.9276
Bi La Pu
1 2 1
Direct
0.5000 0.0000 0.0000
0.0000 0.5000 0.0000
0.0000 0.0000 0.5000
0.5000 0.5000 0.5000
```

Output
- ΔH_f (0 K) (eV per atom) = -0.3790
- VASP energy (eV per cell) = -29.58



2.
Density functional theory data (GGA-PBE) for a relaxed structure of La3PuBi4.

```
La3PuBi4
1.0
-7.3353 -0.2618 3.3921
4.4356 -6.1964 2.6857
3.0819 5.2712 7.0714
Bi La Pu
8 6 2
Direct
0.4962 0.2473 0.3716
0.0038 0.7527 0.3716
0.4994 0.7581 0.1208
0.5038 0.7527 0.6284
0.0006 0.2419 0.1208
0.9962 0.2473 0.6284
0.9994 0.7581 0.8792
0.5006 0.2419 0.8792
0.7500 0.0000 0.3748
0.2500 0.5000 0.3745
0.7500 0.5000 0.6255
0.2500 0.5000 0.8751
0.2500 0.0000 0.6252
0.7500 0.5000 0.1249
0.2500 0.0000 0.1251
0.7500 0.0000 0.8749
```

Output
- ΔH_f (0 K) (eV per atom) = -0.8607
- VASP energy (eV per cell) = -103.05